Crystalline LaTaGa2N at its relaxed geometry. Source: Alexandria via LeMat-Bulk, functional PBE-GGA.

Cell lengths 5.8504, 5.1524, 5.8504 Å; angles 90.00, 90.00, 90.00 degrees
Closest atoms and distances in Å follow each position.
Positions (direct):
1 N 0.5000 0.5000 0.5000  8 Ga 3.90, 4 Ta 4.14
2 La 0.0000 0.0000 0.0000  2 Ta 2.58
3 Ga 0.0000 0.0000 0.5000  2 La 2.93
4 Ga 0.5000 0.0000 0.0000  2 La 2.93
5 Ta 0.0000 0.5000 0.0000  2 La 2.58

## Properties
As for the formation energy (no corrections): 2.46 eV per atom. Its symmetry is P4/mmm, No. 123.